{
  "formula": "Ca2Sc2Sn",
  "functional": "PBE",
  "state": "optimized geometry",
  "dos_at_fermi_per_ev_cell": 14.025,
  "mass_density_g_cm3": 3.1,
  "relative_energy_mev_per_atom": 0,
  "lattice_angstrom": [[7.642, 0.000, 0.000], [0.000, 7.642, 0.000], [0.000, 0.000, 5.254]],
  "species": ["Ca", "Ca", "Ca", "Ca", "Sc", "Sc", "Sc", "Sc", "Sn", "Sn"],
  "fractional_positions": [[0.166, 0.334, 0.000], [0.334, 0.834, 0.000], [0.666, 0.166, 0.000], [0.834, 0.666, 0.000], [0.146, 0.646, 0.500], [0.354, 0.146, 0.500], [0.646, 0.854, 0.500], [0.854, 0.354, 0.500], [0.000, 0.000, 0.500], [0.500, 0.500, 0.500]]
}

---

{
  "formula": "CaScSnTe2",
  "functional": "PBE",
  "state": "optimized geometry",
  "e_form_raw_ev_per_atom": 0.1986,
  "dos_at_fermi_per_ev_cell": 4.969,
  "mass_density_g_cm3": 4.2,
  "lattice_angstrom": [[5.719, 0.000, 0.000], [0.000, 5.719, 0.000], [0.000, 0.000, 5.576]],
  "species": ["Ca", "Sc", "Sn", "Te", "Te"],
  "fractional_positions": [[0.000, 0.000, 0.000], [0.500, 0.500, 0.500], [0.000, 0.000, 0.500], [0.000, 0.500, 0.000], [0.500, 0.000, 0.000]]
}

---

{
  "formula": "CaScZnSn",
  "functional": "PBE",
  "state": "optimized geometry",
  "e_tot_ev_per_atom": -3.81,
  "dos_at_fermi_per_ev_cell": 3.709,
  "mass_density_g_cm3": 4.8,
  "lattice_angstrom": [[0.000, 3.606, 3.606], [3.606, 0.000, 3.606], [3.606, 3.606, 0.000]],
  "species": ["Ca", "Sc", "Zn", "Sn"],
  "fractional_positions": [[0.000, 0.000, 0.000], [0.500, 0.500, 0.500], [0.250, 0.250, 0.250], [0.750, 0.750, 0.750]]
}

---

{
  "formula": "Sr2CaSc",
  "functional": "PBE",
  "state": "optimized geometry",
  "dos_at_fermi_per_ev_cell": 15.983,
  "mass_density_g_cm3": 2.6,
  "relative_energy_mev_per_atom": 316,
  "lattice_angstrom": [[-4.762, 4.762, 3.629], [4.762, -4.762, 3.629], [4.762, 4.762, -3.629]],
  "species": ["Sr", "Sr", "Sr", "Sr", "Ca", "Ca", "Sc", "Sc"],
  "fractional_positions": [[0.113, 0.625, 0.988], [0.375, 0.363, 0.488], [0.637, 0.125, 0.012], [0.875, 0.887, 0.512], [0.250, 0.750, 0.500], [0.500, 0.500, 0.000], [0.000, 0.000, 0.000], [0.750, 0.250, 0.500]]
}